## ZnPt3 (GGA-PBE)

Data for a geometry-optimized ZnPt3 structure.

Values from the calculation:
**D(E_F)**: 0.995 states/eV/atom
**Size of the total moment**: 0.0 Bohr magnetons per cell
**Space-group type**: P-6m2 (187)
**Formation enthalpy at 0 K**: -0.241 eV per atom

Cell lengths 2.794, 2.794, 9.021 Å; angles 90.00, 90.00, 120.00 degrees
Element x y z (fractional)
Zn1 0.000 0.000 0.000
Pt1 0.000 0.000 0.500
Pt2 0.667 0.333 0.233
Pt3 0.667 0.333 0.767